# Rb2BaMgH6

A relaxed structure of Rb2BaMgH6 (PBE-GGA, the Alexandria database).

a = 4.8257 Å, b = 4.8257 Å, c = 8.9073 Å
α = 90.00°, β = 90.00°, γ = 90.00°
Positions (direct):
Rb (0.0000, 0.0000, 0.2150)
Rb (0.0000, 0.0000, 0.7850)
Ba (0.5000, 0.5000, 0.5000)
Mg (0.5000, 0.5000, 0.0000)
H (0.0000, 0.5000, 0.0000)
H (0.0000, 0.5000, 0.5000)
H (0.5000, 0.0000, 0.0000)
H (0.5000, 0.0000, 0.5000)
H (0.5000, 0.5000, 0.2071)
H (0.5000, 0.5000, 0.7929)

Properties
- space group = P4/mmm, No. 123
- crystal system = tetragonal

# Rb3BaMg2H9

A relaxed structure of Rb3BaMg2H9 (PBE-GGA, the Alexandria database).

a = 6.0992 Å, b = 6.0992 Å, c = 8.0984 Å
α = 90.00°, β = 90.00°, γ = 120.00°
Positions (direct):
Rb (0.0000, 0.0000, 0.0000)
Rb (0.3333, 0.6667, 0.7219)
Rb (0.6667, 0.3333, 0.2781)
Ba (0.0000, 0.0000, 0.5000)
Mg (0.3333, 0.6667, 0.1545)
Mg (0.6667, 0.3333, 0.8455)
H (0.0000, 0.5000, 0.0000)
H (0.1803, 0.3606, 0.2890)
H (0.1803, 0.8197, 0.2890)
H (0.3606, 0.1803, 0.7110)
H (0.5000, 0.0000, 0.0000)
H (0.5000, 0.5000, 0.0000)
H (0.6394, 0.8197, 0.2890)
H (0.8197, 0.1803, 0.7110)
H (0.8197, 0.6394, 0.7110)

Properties
- space group = P-3m1, No. 164
- crystal system = trigonal

# RbBaMgH2

A relaxed structure of RbBaMgH2 (PBE-GGA, the Alexandria database).

a = 5.1955 Å, b = 5.1955 Å, c = 9.3590 Å
α = 90.00°, β = 90.00°, γ = 90.00°
Positions (direct):
Rb (0.0000, 0.0000, 0.0000)
Ba (0.0000, 0.0000, 0.5000)
Mg (0.5000, 0.5000, 0.0000)
H (0.0000, 0.5000, 0.5000)
H (0.5000, 0.0000, 0.5000)

Properties
- space group = P4/mmm, No. 123
- crystal system = tetragonal

# BaMgRe2H

A relaxed structure of BaMgRe2H (PBE-GGA, the Alexandria database).

a = 5.2751 Å, b = 5.2751 Å, c = 3.5873 Å
α = 90.00°, β = 90.00°, γ = 90.00°
Positions (direct):
Ba (0.0000, 0.0000, 0.0000)
Mg (0.5000, 0.5000, 0.5000)
Re (0.0000, 0.5000, 0.0000)
Re (0.5000, 0.0000, 0.0000)
H (0.0000, 0.0000, 0.5000)

Properties
- space group = P4/mmm, No. 123
- crystal system = tetragonal

# BaMgH6Rh

A relaxed structure of BaMgH6Rh (PBE-GGA, the Alexandria database).

a = 4.9116 Å, b = 4.9116 Å, c = 5.2517 Å
α = 90.00°, β = 90.00°, γ = 120.00°
Positions (direct):
Ba (0.0000, 0.0000, 0.0000)
Mg (0.3333, 0.6667, 0.5000)
H (0.4478, 0.0436, 0.7123)
H (0.4478, 0.4042, 0.2877)
H (0.5958, 0.0436, 0.2877)
H (0.5958, 0.5522, 0.7123)
H (0.9564, 0.4042, 0.7123)
H (0.9564, 0.5522, 0.2877)
Rh (0.6667, 0.3333, 0.5000)

Properties
- space group = P312, No. 149
- crystal system = trigonal

# Ba2MgHRh

A relaxed structure of Ba2MgHRh (PBE-GGA, the Alexandria database).

a = 5.8784 Å, b = 5.8784 Å, c = 3.7957 Å
α = 90.00°, β = 90.00°, γ = 90.00°
Positions (direct):
Ba (0.0000, 0.5000, 0.0000)
Ba (0.5000, 0.0000, 0.0000)
Mg (0.0000, 0.0000, 0.5000)
H (0.5000, 0.5000, 0.0000)
Rh (0.5000, 0.5000, 0.5000)

Properties
- space group = P4/mmm, No. 123
- crystal system = tetragonal

E_tot in eV/atom, matching the order above: -2.75; -2.78; -1.96; -3.84; -3.83; -3.34